Record 1
Entry from Alexandria via LeMat-Bulk: an optimized crystal structure of Mg3Au (PBE).

```
data_Mg3Au
_symmetry_space_group_name_H-M 'C m c m'
_symmetry_Int_Tables_number 63
_symmetry_space_group_name_Hall '-C 2c 2'
_cell_length_a 3.956
_cell_length_b 9.839
_cell_length_c 8.676
_cell_angle_alpha 90.00
_cell_angle_beta 90.00
_cell_angle_gamma 90.00
loop_
_atom_site_label
_atom_site_fract_x
_atom_site_fract_y
_atom_site_fract_z
Mg1 0.000 0.052 0.250
Mg2 0.000 0.354 0.057
Au1 0.000 0.246 0.750
```

- DOS at the Fermi energy: 1.43 states/eV/f.u.
- Raw total energy: -2.393 eV/atom
- Total moment: 0.000 μB per cell


Record 2
Entry from Alexandria via LeMat-Bulk: an optimized crystal structure of AgHgSbTe2 (PBE).

```
data_AgHgSbTe2
_symmetry_space_group_name_H-M 'P 4/m m m'
_symmetry_Int_Tables_number 123
_symmetry_space_group_name_Hall '-P 4 2'
_cell_length_a 5.704
_cell_length_b 5.704
_cell_length_c 5.481
_cell_angle_alpha 90.00
_cell_angle_beta 90.00
_cell_angle_gamma 90.00
loop_
_atom_site_label
_atom_site_fract_x
_atom_site_fract_y
_atom_site_fract_z
Ag1 0.000 0.000 0.000
Hg1 0.500 0.500 0.500
Sb1 0.500 0.500 0.000
Te1 0.000 0.500 0.500
```

- DOS at the Fermi energy: 4.37 states/eV/f.u.
- Energy relative to the elements, uncorrected: 0.81 eV/atom
- Total moment: 0.000 μB per cell


Record 3
Entry from Alexandria via LeMat-Bulk: an optimized crystal structure of Co2Mo2Pd (PBE).

```
data_Co2Mo2Pd
_symmetry_space_group_name_H-M 'P 4/m b m'
_symmetry_Int_Tables_number 127
_symmetry_space_group_name_Hall '-P 4 2ab'
_cell_length_a 7.278
_cell_length_b 7.278
_cell_length_c 2.662
_cell_angle_alpha 90.00
_cell_angle_beta 90.00
_cell_angle_gamma 90.00
loop_
_atom_site_label
_atom_site_fract_x
_atom_site_fract_y
_atom_site_fract_z
Co1 0.168 0.332 0.000
Mo1 0.127 0.627 0.500
Pd1 0.000 0.000 0.500
```

- DOS at the Fermi energy: 5.37 states/eV/f.u.
- Raw total energy: -7.988 eV/atom
- Total moment: 1.306 μB per cell


Record 4
Entry from Alexandria via LeMat-Bulk: an optimized crystal structure of PSN2 (PBE).

```
data_PSN2
_symmetry_space_group_name_H-M 'R -3 m'
_symmetry_Int_Tables_number 166
_symmetry_space_group_name_Hall '-R 3 2"'
_cell_length_a 2.7660
_cell_length_b 2.7660
_cell_length_c 18.0536
_cell_angle_alpha 90.00
_cell_angle_beta 90.00
_cell_angle_gamma 120.00
loop_
_atom_site_label
_atom_site_fract_x
_atom_site_fract_y
_atom_site_fract_z
P1 0.0000 0.0000 0.0000
S1 0.0000 0.0000 0.5000
N1 0.0000 0.0000 0.3852
```

- DOS at the Fermi energy: 0.77 states/eV/f.u.
- Energy relative to the elements, uncorrected: 0.45 eV/atom
- Total moment: 0.000 μB per cell


Record 5
Entry from Alexandria via LeMat-Bulk: an optimized crystal structure of Cs2Ag3Cl8 (PBE).

```
data_Cs2Ag3Cl8
_symmetry_space_group_name_H-M 'C 1 2/m 1'
_symmetry_Int_Tables_number 12
_cell_length_a 16.239
_cell_length_b 8.597
_cell_length_c 6.724
_cell_angle_alpha 90.00
_cell_angle_beta 110.25
_cell_angle_gamma 90.00
loop_
_symmetry_equiv_pos_as_xyz
'x,y,z'
'-x,-y,-z'
'-x,y,-z'
'x,-y,z'
'x+1/2,y+1/2,z'
'-x+1/2,-y+1/2,-z'
'-x+1/2,y+1/2,-z'
'x+1/2,-y+1/2,z'
loop_
_atom_site_label
_atom_site_fract_x
_atom_site_fract_y
_atom_site_fract_z
Cs1 0.228 0.000 0.162
Ag1 0.000 0.227 0.500
Ag2 0.000 0.500 0.000
Cl1 0.086 0.278 0.872
Cl2 0.097 0.500 0.363
Cl3 0.114 0.000 0.506
```

- DOS at the Fermi energy: 11.59 states/eV/f.u.
- Energy relative to the elements, uncorrected: -0.81 eV/atom
- Total moment: 0.001 μB per cell


Record 6
Entry from Alexandria via LeMat-Bulk: an optimized crystal structure of LaPm6Nd5 (PBE).

```
data_LaPm6Nd5
_symmetry_space_group_name_H-M 'C 1 2/m 1'
_symmetry_Int_Tables_number 12
_cell_length_a 6.371
_cell_length_b 11.039
_cell_length_c 12.175
_cell_angle_alpha 90.00
_cell_angle_beta 100.12
_cell_angle_gamma 90.00
loop_
_symmetry_equiv_pos_as_xyz
'x,y,z'
'-x,-y,-z'
'-x,y,-z'
'x,-y,z'
'x+1/2,y+1/2,z'
'-x+1/2,-y+1/2,-z'
'-x+1/2,y+1/2,-z'
'x+1/2,-y+1/2,z'
loop_
_atom_site_label
_atom_site_fract_x
_atom_site_fract_y
_atom_site_fract_z
La1 0.000 0.000 0.000
Pm1 0.250 0.000 0.749
Pm2 0.250 0.167 0.251
Nd1 0.000 0.167 0.500
Nd2 0.000 0.333 0.000
Nd3 0.000 0.500 0.500
```

- DOS at the Fermi energy: 19.20 states/eV/f.u.
- Raw total energy: -4.759 eV/atom
- Total moment: 0.000 μB per cell


Record 7
Entry from Alexandria via LeMat-Bulk: an optimized crystal structure of Pm2Nd5Bi5 (PBE).

```
data_Pm2Nd5Bi5
_symmetry_space_group_name_H-M 'C 1 2/m 1'
_symmetry_Int_Tables_number 12
_cell_length_a 14.993
_cell_length_b 4.557
_cell_length_c 13.219
_cell_angle_alpha 90.00
_cell_angle_beta 109.96
_cell_angle_gamma 90.00
loop_
_symmetry_equiv_pos_as_xyz
'x,y,z'
'-x,-y,-z'
'-x,y,-z'
'x,-y,z'
'x+1/2,y+1/2,z'
'-x+1/2,-y+1/2,-z'
'-x+1/2,y+1/2,-z'
'x+1/2,-y+1/2,z'
loop_
_atom_site_label
_atom_site_fract_x
_atom_site_fract_y
_atom_site_fract_z
Pm1 0.044 0.000 0.285
Nd1 0.000 0.500 0.000
Nd2 0.161 0.500 0.537
Nd3 0.221 0.500 0.842
Bi1 0.000 0.000 0.500
Bi2 0.120 0.000 0.933
Bi3 0.194 0.500 0.289
```

- DOS at the Fermi energy: 9.60 states/eV/f.u.
- Raw total energy: -5.080 eV/atom
- Total moment: 0.000 μB per cell


Record 8
Entry from Alexandria via LeMat-Bulk: an optimized crystal structure of PmNd2Al (PBE).

```
data_PmNd2Al
_symmetry_space_group_name_H-M 'A m m 2'
_symmetry_Int_Tables_number 38
_cell_length_a 5.391
_cell_length_b 7.096
_cell_length_c 12.294
_cell_angle_alpha 90.00
_cell_angle_beta 90.00
_cell_angle_gamma 90.00
loop_
_symmetry_equiv_pos_as_xyz
'x,y,z'
'-x,-y,z'
'-x,y,z'
'x,-y,z'
'x,y+1/2,z+1/2'
'-x,-y+1/2,z+1/2'
'-x,y+1/2,z+1/2'
'x,-y+1/2,z+1/2'
loop_
_atom_site_label
_atom_site_fract_x
_atom_site_fract_y
_atom_site_fract_z
Pm1 0.000 0.233 0.000
Nd1 0.000 0.000 0.233
Nd2 0.500 0.000 0.589
Nd3 0.500 0.233 0.822
Al1 0.000 0.000 0.745
Al2 0.500 0.000 0.077
```

- DOS at the Fermi energy: 3.76 states/eV/f.u.
- Raw total energy: -4.688 eV/atom
- Total moment: 0.000 μB per cell


Record 9
Entry from Alexandria via LeMat-Bulk: an optimized crystal structure of ZnFe2S (PBE).

```
data_ZnFe2S
_symmetry_space_group_name_H-M 'F m -3 m'
_symmetry_Int_Tables_number 225
_symmetry_space_group_name_Hall '-F 4 2 3'
_cell_length_a 5.664
_cell_length_b 5.664
_cell_length_c 5.664
_cell_angle_alpha 90.00
_cell_angle_beta 90.00
_cell_angle_gamma 90.00
loop_
_atom_site_label
_atom_site_fract_x
_atom_site_fract_y
_atom_site_fract_z
Zn1 0.000 0.000 0.000
Fe1 0.250 0.250 0.250
S1 0.000 0.000 0.500
```

- DOS at the Fermi energy: 1.98 states/eV/f.u.
- Energy relative to the elements, uncorrected: 0.34 eV/atom
- Total moment: 0.000 μB per cell


Record 10
Entry from Alexandria via LeMat-Bulk: an optimized crystal structure of Sm2GdHo (PBE).

```
data_Sm2GdHo
_symmetry_space_group_name_H-M 'P 4/m m m'
_symmetry_Int_Tables_number 123
_symmetry_space_group_name_Hall '-P 4 2'
_cell_length_a 5.079
_cell_length_b 5.079
_cell_length_c 5.068
_cell_angle_alpha 90.00
_cell_angle_beta 90.00
_cell_angle_gamma 90.00
loop_
_atom_site_label
_atom_site_fract_x
_atom_site_fract_y
_atom_site_fract_z
Sm1 0.000 0.500 0.000
Gd1 0.000 0.000 0.500
Ho1 0.500 0.500 0.500
```

- DOS at the Fermi energy: 6.47 states/eV/f.u.
- Raw total energy: -7.009 eV/atom
- Total moment: 7.197 μB per cell


Record 11
Entry from Alexandria via LeMat-Bulk: an optimized crystal structure of HoIn3Ni2 (PBE).

```
data_HoIn3Ni2
_symmetry_space_group_name_H-M 'C 1 2/m 1'
_symmetry_Int_Tables_number 12
_cell_length_a 18.115
_cell_length_b 4.394
_cell_length_c 10.294
_cell_angle_alpha 90.00
_cell_angle_beta 118.35
_cell_angle_gamma 90.00
loop_
_symmetry_equiv_pos_as_xyz
'x,y,z'
'-x,-y,-z'
'-x,y,-z'
'x,-y,z'
'x+1/2,y+1/2,z'
'-x+1/2,-y+1/2,-z'
'-x+1/2,y+1/2,-z'
'x+1/2,-y+1/2,z'
loop_
_atom_site_label
_atom_site_fract_x
_atom_site_fract_y
_atom_site_fract_z
Ho1 0.000 0.000 0.000
Ho2 0.169 0.000 0.679
In1 0.000 0.500 0.500
In2 0.021 0.000 0.323
In3 0.128 0.500 0.167
In4 0.179 0.500 0.935
In5 0.209 0.000 0.390
Ni1 0.019 0.500 0.838
Ni2 0.124 0.500 0.433
Ni3 0.200 0.000 0.129
```

- DOS at the Fermi energy: 2.93 states/eV/f.u.
- Raw total energy: -4.291 eV/atom
- Total moment: 0.000 μB per cell


Record 12
Entry from Alexandria via LeMat-Bulk: an optimized crystal structure of CsTa2Co (PBE).

```
data_CsTa2Co
_symmetry_space_group_name_H-M 'F m -3 m'
_symmetry_Int_Tables_number 225
_symmetry_space_group_name_Hall '-F 4 2 3'
_cell_length_a 6.649
_cell_length_b 6.649
_cell_length_c 6.649
_cell_angle_alpha 90.00
_cell_angle_beta 90.00
_cell_angle_gamma 90.00
loop_
_atom_site_label
_atom_site_fract_x
_atom_site_fract_y
_atom_site_fract_z
Cs1 0.000 0.000 0.000
Ta1 0.250 0.250 0.250
Co1 0.000 0.000 0.500
```

- DOS at the Fermi energy: 3.17 states/eV/f.u.
- Raw total energy: -6.228 eV/atom
- Total moment: 0.005 μB per cell


> What is the total moment in the twelfth record?

0.005 μB per cell


> Number 10 is which compound?

Sm2GdHo